Entry from the Open Quantum Materials Database: GdCuAsP after structural relaxation (PBE-GGA).

Summary:
Volume: 18.20 A^3/atom
Offset from the most stable computed form: 95 meV per atom

a b c (Å): 3.830 3.830 9.924
angles (deg): 90.00 90.00 90.00
Space group P4/nmm (No. 129, origin choice 2)
Inequivalent atoms, fractional coordinates:
Gd: 0.250 0.250 0.225 [2 per cell]
Cu: 0.250 0.750 0.500 [2 per cell]
As: 0.250 0.250 0.661 [2 per cell]
P: 0.250 0.750 0.000 [2 per cell]